(1)
# PrSm6Pd3 GGA-PBE relaxed
data_PrSm6Pd3
_cell_length_a 8.929
_cell_length_b 8.929
_cell_length_c 7.328
_cell_angle_alpha 90.00
_cell_angle_beta 90.00
_cell_angle_gamma 97.28
_symmetry_space_group_name_H-M 'P 1'
_symmetry_Int_Tables_number 1
_symmetry_space_group_name_Hall 'P 1'
loop_
_atom_site_label
_atom_site_type_symbol
_atom_site_fract_x
_atom_site_fract_y
_atom_site_fract_z
Pr1 Pr 0.180 0.820 0.500
Pr2 Pr 0.820 0.180 0.000
Sm1 Sm 0.080 0.468 0.287
Sm2 Sm 0.130 0.213 0.633
Sm3 Sm 0.213 0.130 0.133
Sm4 Sm 0.266 0.734 0.982
Sm5 Sm 0.466 0.534 0.625
Sm6 Sm 0.468 0.080 0.787
Sm7 Sm 0.532 0.920 0.287
Sm8 Sm 0.534 0.466 0.125
Sm9 Sm 0.734 0.266 0.482
Sm10 Sm 0.787 0.870 0.633
Sm11 Sm 0.870 0.787 0.133
Sm12 Sm 0.920 0.532 0.787
Pd1 Pd 0.068 0.932 0.841
Pd2 Pd 0.220 0.414 0.921
Pd3 Pd 0.414 0.220 0.421
Pd4 Pd 0.586 0.780 0.921
Pd5 Pd 0.780 0.586 0.421
Pd6 Pd 0.932 0.068 0.341
# Energy of formation from the pure elements ... -449 meV per atom
# Space-group type ... Cmc2_1
# Crystal system ... orthorhombic
# Size of the total moment ... 0.000 μB/atom
# Energy ... -106.3 eV for the cell shown

(2)
# CuIrRu2 GGA-PBE relaxed
data_CuIrRu2
_cell_length_a 4.688
_cell_length_b 4.688
_cell_length_c 2.693
_cell_angle_alpha 90.00
_cell_angle_beta 90.00
_cell_angle_gamma 111.13
_symmetry_space_group_name_H-M 'P 1'
_symmetry_Int_Tables_number 1
_symmetry_space_group_name_Hall 'P 1'
loop_
_atom_site_label
_atom_site_type_symbol
_atom_site_fract_x
_atom_site_fract_y
_atom_site_fract_z
Cu1 Cu 0.000 0.000 0.000
Ir1 Ir 0.500 0.500 0.000
Ru1 Ru 0.000 0.500 0.500
Ru2 Ru 0.500 0.000 0.500
# Energy of formation from the pure elements ... 234 meV per atom
# Space-group type ... Cmmm
# Crystal system ... orthorhombic
# Polymorph energy (0 for the lowest one) ... 104.8 meV per atom
# Size of the total moment ... 0.005 μB/atom
# Energy ... -30.6 eV for the cell shown

(3)
# TcHF GGA-PBE relaxed
data_TcHF
_cell_length_a 11.087
_cell_length_b 4.989
_cell_length_c 4.720
_cell_angle_alpha 90.00
_cell_angle_beta 90.00
_cell_angle_gamma 90.00
_symmetry_space_group_name_H-M 'P 1'
_symmetry_Int_Tables_number 1
_symmetry_space_group_name_Hall 'P 1'
loop_
_atom_site_label
_atom_site_type_symbol
_atom_site_fract_x
_atom_site_fract_y
_atom_site_fract_z
Tc1 Tc 0.096 0.203 0.242
Tc2 Tc 0.096 0.797 0.742
Tc3 Tc 0.404 0.297 0.742
Tc4 Tc 0.404 0.703 0.242
Tc5 Tc 0.596 0.297 0.758
Tc6 Tc 0.596 0.703 0.258
Tc7 Tc 0.904 0.203 0.258
Tc8 Tc 0.904 0.797 0.758
H1 H 0.105 0.126 0.866
H2 H 0.105 0.874 0.366
H3 H 0.395 0.374 0.366
H4 H 0.395 0.626 0.866
H5 H 0.605 0.374 0.134
H6 H 0.605 0.626 0.634
H7 H 0.895 0.126 0.634
H8 H 0.895 0.874 0.134
F1 F 0.170 0.431 0.570
F2 F 0.170 0.569 0.070
F3 F 0.330 0.069 0.070
F4 F 0.330 0.931 0.570
F5 F 0.670 0.069 0.430
F6 F 0.670 0.931 0.930
F7 F 0.830 0.431 0.930
F8 F 0.830 0.569 0.430
# Space-group type ... Pbcn
# Crystal system ... orthorhombic
# Size of the total moment ... 0.000 μB/atom
# Energy ... -139.3 eV for the cell shown

(4)
# Be2Cl GGA-PBE relaxed
data_Be2Cl
_cell_length_a 5.787
_cell_length_b 5.787
_cell_length_c 5.787
_cell_angle_alpha 90.00
_cell_angle_beta 90.00
_cell_angle_gamma 90.00
_symmetry_space_group_name_H-M 'P 1'
_symmetry_Int_Tables_number 1
_symmetry_space_group_name_Hall 'P 1'
loop_
_atom_site_label
_atom_site_type_symbol
_atom_site_fract_x
_atom_site_fract_y
_atom_site_fract_z
Be1 Be 0.103 0.103 0.103
Be2 Be 0.103 0.397 0.603
Be3 Be 0.397 0.603 0.103
Be4 Be 0.397 0.897 0.603
Be5 Be 0.603 0.103 0.397
Be6 Be 0.603 0.397 0.897
Be7 Be 0.897 0.603 0.397
Be8 Be 0.897 0.897 0.897
Cl1 Cl 0.000 0.000 0.500
Cl2 Cl 0.000 0.500 0.000
Cl3 Cl 0.500 0.000 0.000
Cl4 Cl 0.500 0.500 0.500
# ΔE_f (raw) ... 0.94 eV per atom
# Space-group type ... Pa-3
# Crystal system ... cubic
# Polymorph energy (0 for the lowest one) ... 1268.1 meV per atom
# Size of the total moment ... 0.011 μB/atom
# Energy ... -26.0 eV for the cell shown

(5)
# Gd2HoLu GGA-PBE relaxed
data_Gd2HoLu
_cell_length_a 3.539
_cell_length_b 3.539
_cell_length_c 9.957
_cell_angle_alpha 90.00
_cell_angle_beta 90.00
_cell_angle_gamma 90.00
_symmetry_space_group_name_H-M 'P 1'
_symmetry_Int_Tables_number 1
_symmetry_space_group_name_Hall 'P 1'
loop_
_atom_site_label
_atom_site_type_symbol
_atom_site_fract_x
_atom_site_fract_y
_atom_site_fract_z
Gd1 Gd 0.000 0.000 0.248
Gd2 Gd 0.000 0.000 0.752
Ho1 Ho 0.500 0.500 0.500
Lu1 Lu 0.500 0.500 0.000
# Energy of formation from the pure elements ... 33 meV per atom
# Space-group type ... P4/mmm
# Crystal system ... tetragonal
# Polymorph energy (0 for the lowest one) ... 1.3 meV per atom
# Size of the total moment ... 3.637 μB/atom
# Energy ... -37.1 eV for the cell shown

(6)
# NaCu2PtF8 GGA-PBE relaxed
data_NaCu2PtF8
_cell_length_a 6.507
_cell_length_b 6.507
_cell_length_c 6.507
_cell_angle_alpha 132.69
_cell_angle_beta 132.69
_cell_angle_gamma 69.13
_symmetry_space_group_name_H-M 'P 1'
_symmetry_Int_Tables_number 1
_symmetry_space_group_name_Hall 'P 1'
loop_
_atom_site_label
_atom_site_type_symbol
_atom_site_fract_x
_atom_site_fract_y
_atom_site_fract_z
Na1 Na 0.000 0.000 0.000
Cu1 Cu 0.250 0.750 0.500
Cu2 Cu 0.500 0.500 0.000
Pt1 Pt 0.750 0.250 0.500
F1 F 0.076 0.627 0.027
F2 F 0.145 0.211 0.561
F3 F 0.373 0.400 0.449
F4 F 0.416 0.855 0.066
F5 F 0.600 0.049 0.973
F6 F 0.651 0.584 0.439
F7 F 0.789 0.349 0.934
F8 F 0.951 0.924 0.551
# ΔE_f (raw) ... -1.41 eV per atom
# Space-group type ... I-4
# Crystal system ... tetragonal
# Size of the total moment ... 0.148 μB/atom
# Energy ... -47.5 eV for the cell shown